Material: Sm2V2O5
Method: DFT, PBE with a Hubbard U
State: relaxed

The structure belongs to space group Ima2 (No. 46); the cell edges are 15.6734, 5.8055 and 5.4994 Å and the angles 90.00°, 90.00° and 90.00°. The asymmetric unit holds Sm at (0.1110, 0.0103, 0.0000), V at (0.0000, 0.0000, 0.5222), V at (0.2500, 0.5470, 0.9710), O at (0.0336, 0.7360, 0.7581), O at (0.1352, 0.0977, 0.5630) and O at (0.2500, 0.5983, 0.5795).

For the magnetization, the calculation gives 24.00 μB per cell. The calculation puts the raw total energy at -284.6 eV/cell.